[1]
Below is an optimized crystal structure of YSnF2, with properties calculated at the PBE level.

Output
As for the offset from the most stable computed form: 620 meV/atom. The uncorrected formation energy is -1.6227 eV per atom.

Cell: 4.6515 4.6515 4.6515 Å, 60.00 60.00 60.00°
Sites, in units of the cell vectors:
Y 0.0000 0.0000 0.0000
Sn 0.5000 0.5000 0.5000
F 0.2500 0.2500 0.2500
F 0.7500 0.7500 0.7500


[2]
Below is an optimized crystal structure of La2GaHRh6, with properties calculated at the PBE level.

Output
The calculation puts the energy at -0.240 Ha/atom.

Cell: 6.1976 6.1976 6.1976 Å, 119.93 119.93 90.12°
Sites, in units of the cell vectors:
La 0.2500 0.7500 0.5000
La 0.7500 0.2500 0.5000
Ga 0.0000 0.0000 0.0000
H 0.5000 0.5000 0.0000
Rh 0.2754 0.2754 0.0000
Rh 0.2750 0.2750 0.5500
Rh 0.2750 0.7250 0.0000
Rh 0.7250 0.2750 0.0000
Rh 0.7246 0.7246 0.0000
Rh 0.7250 0.7250 0.4500


[3]
Below is an optimized crystal structure of CeNiRu, with properties calculated at the PBE level.

Output
As for the offset from the most stable computed form: 269 meV/atom. The formation energy is -0.119 eV per atom.

Cell: 4.7377 4.7377 4.7377 Å, 134.89 134.89 65.69°
Sites, in units of the cell vectors:
Ce 0.0000 0.0000 0.0000
Ni 0.6641 0.6641 0.0000
Ru 0.2960 0.2960 0.0000


[4]
Below is an optimized crystal structure of Ba2Tl4Pb5, with properties calculated at the PBE level.

Output
The formation energy is -0.195 eV per atom.

Cell: 7.3675 7.3675 10.4147 Å, 121.39 121.39 57.34°
Sites, in units of the cell vectors:
Ba 0.2051 0.2051 0.2665
Ba 0.7949 0.7949 0.7335
Tl 0.2186 0.2186 0.6276
Tl 0.2354 0.2354 0.9588
Tl 0.7646 0.7646 0.0412
Tl 0.7814 0.7814 0.3724
Pb 0.2689 0.7223 0.3254
Pb 0.2777 0.7311 0.6746
Pb 0.5000 0.5000 0.0000
Pb 0.7223 0.2689 0.3254
Pb 0.7311 0.2777 0.6746


[5]
Below is an optimized crystal structure of BaW2Cl, with properties calculated at the PBE level.

Output
As for the offset from the most stable computed form: 2059 meV/atom. The uncorrected formation energy is 2.2309 eV per atom.

Cell: 4.8535 4.8535 4.8535 Å, 60.00 60.00 60.00°
Sites, in units of the cell vectors:
Ba 0.0000 0.0000 0.0000
W 0.2500 0.2500 0.2500
W 0.7500 0.7500 0.7500
Cl 0.5000 0.5000 0.5000


[6]
Below is an optimized crystal structure of Er4Zn3Cd, with properties calculated at the PBE level.

Output
As for the offset from the most stable computed form: 0 meV/atom. The formation energy is -0.330 eV per atom.

Cell: 5.0434 5.0434 7.2469 Å, 90.00 90.00 90.00°
Sites, in units of the cell vectors:
Er 0.0000 0.5000 0.2408
Er 0.0000 0.5000 0.7592
Er 0.5000 0.0000 0.2408
Er 0.5000 0.0000 0.7592
Zn 0.0000 0.0000 0.0000
Zn 0.0000 0.0000 0.5000
Zn 0.5000 0.5000 0.0000
Cd 0.5000 0.5000 0.5000


[7]
Below is an optimized crystal structure of PuMn4P12, with properties calculated at the PBE level.

Output
The formation energy is -0.427 eV per atom.

Cell: 6.8365 6.8365 6.8365 Å, 109.47 109.47 109.47°
Sites, in units of the cell vectors:
Pu 0.0000 0.0000 0.0000
Mn 0.0000 0.0000 0.5000
Mn 0.0000 0.5000 0.0000
Mn 0.5000 0.0000 0.0000
Mn 0.5000 0.5000 0.5000
P 0.1477 0.3510 0.4986
P 0.1477 0.6490 0.7967
P 0.2033 0.8523 0.3510
P 0.3510 0.2033 0.8523
P 0.3510 0.4986 0.1477
P 0.4986 0.1477 0.3510
P 0.5014 0.8523 0.6490
P 0.6490 0.5014 0.8523
P 0.6490 0.7967 0.1477
P 0.7967 0.1477 0.6490
P 0.8523 0.3510 0.2033
P 0.8523 0.6490 0.5014


[8]
Below is an optimized crystal structure of LaSi, with properties calculated at the PBE level.

Output
The uncorrected formation energy is -0.2279 eV per atom.

Cell: 3.4275 3.4275 8.6764 Å, 90.00 90.00 90.00°
Sites, in units of the cell vectors:
La 0.2500 0.2500 0.2025
La 0.7500 0.7500 0.7975
Si 0.2500 0.2500 0.5553
Si 0.7500 0.7500 0.4447


[9]
Below is an optimized crystal structure of LiScPd, with properties calculated at the PBE level.

Output
As for the offset from the most stable computed form: 57 meV/atom. The formation energy is -0.512 eV per atom.

Cell: 4.5428 4.5428 5.7943 Å, 90.00 90.00 120.00°
Sites, in units of the cell vectors:
Li 0.0000 0.0000 0.0000
Li 0.3333 0.6667 0.8365
Sc 0.0000 0.0000 0.5233
Sc 0.6667 0.3333 0.1788
Pd 0.3333 0.6667 0.3338
Pd 0.6667 0.3333 0.6790


[10]
Below is an optimized crystal structure of La2PPbO, with properties calculated at the PBE level.

Output
The uncorrected formation energy is -0.1203 eV per atom.

Cell: 5.9864 5.9864 4.3646 Å, 90.00 90.00 90.00°
Sites, in units of the cell vectors:
La 0.0000 0.5000 0.0000
La 0.5000 0.0000 0.0000
P 0.0000 0.0000 0.5000
Pb 0.5000 0.5000 0.0000
O 0.5000 0.5000 0.5000


[11]
Below is an optimized crystal structure of RbAcAuO3, with properties calculated at the PBE level.

Output
The uncorrected formation energy is -1.5779 eV per atom.

Cell: 7.9200 3.9213 8.4449 Å, 90.00 102.00 90.00°
Sites, in units of the cell vectors:
Rb 0.0747 0.2500 0.3158
Rb 0.9253 0.7500 0.6842
Ac 0.4443 0.7500 0.6786
Ac 0.5557 0.2500 0.3214
Au 0.2528 0.2500 0.9361
Au 0.7472 0.7500 0.0639
O 0.2228 0.2500 0.6608
O 0.3069 0.7500 0.9640
O 0.3845 0.7500 0.3880
O 0.6155 0.2500 0.6120
O 0.6931 0.2500 0.0360
O 0.7772 0.7500 0.3392


[12]
Below is an optimized crystal structure of TlReI3, with properties calculated at the PBE level.

Output
As for the offset from the most stable computed form: 0 meV/atom. The uncorrected formation energy is 0.3630 eV per atom.

Cell: 5.6376 5.6376 5.6376 Å, 90.00 90.00 90.00°
Sites, in units of the cell vectors:
Tl 0.0000 0.0000 0.0000
Re 0.5000 0.5000 0.5000
I 0.0000 0.5000 0.5000
I 0.5000 0.0000 0.5000
I 0.5000 0.5000 0.0000


What is the formula in the eighth record? LaSi


Number 11 is which compound? RbAcAuO3